TaRe3As | PBE | relaxed

abc: 4.790 4.790 4.790
angles: 90.00 90.00 90.00
Positions (direct):
1 Ta 0.000 0.000 0.000
2 Re 0.000 0.000 0.500
3 Re 0.000 0.500 0.000
4 Re 0.500 0.000 0.000
5 As 0.500 0.500 0.500

Values from the calculation:
* E above lowest polymorph: 106.74 kJ per mole of atoms
* DOS at the Fermi energy: 5.74 states/eV/cell
* crystal system: cubic
* total moment: 1.88 μB per cell
* total DFT energy (no corrections): -41.744 eV for the cell shown
* energy relative to the elements: 2.421 eV per atom